one.
Density functional theory data (PBE) for crystalline La2BeBiPt at its relaxed geometry.

## Properties
The total magnetization is 0.0 μB per cell. The calculation puts the volume at 33.75 Å³/atom. As for the density of states at the Fermi level: 0.785 states/eV/atom.

Structure (CIF):
```
data_La2BeBiPt
_symmetry_space_group_name_H-M 'P 4/m m m'
_symmetry_Int_Tables_number 123
_symmetry_space_group_name_Hall '-P 4 2'
_cell_length_a 5.6020
_cell_length_b 5.6020
_cell_length_c 5.3765
_cell_angle_alpha 90.00
_cell_angle_beta 90.00
_cell_angle_gamma 90.00
loop_
_atom_site_label
_atom_site_type_symbol
_atom_site_fract_x
_atom_site_fract_y
_atom_site_fract_z
_atom_site_occupancy
La1 La 0.0000 0.5000 0.0000 1
Be1 Be 0.0000 0.0000 0.5000 1
Bi1 Bi 0.5000 0.5000 0.5000 1
Pt1 Pt 0.5000 0.5000 0.0000 1
```


two.
Density functional theory data (PBE) for crystalline La2BeBiPt at its relaxed geometry.

## Properties
The total magnetization is 0.0 μB per cell. The calculation puts the volume at 37.61 Å³/atom. As for the density of states at the Fermi level: 1.097 states/eV/atom.

Structure (CIF):
```
data_La2BeBiPt
_symmetry_space_group_name_H-M 'P 4/m m m'
_symmetry_Int_Tables_number 123
_symmetry_space_group_name_Hall '-P 4 2'
_cell_length_a 6.1095
_cell_length_b 6.1095
_cell_length_c 5.0379
_cell_angle_alpha 90.00
_cell_angle_beta 90.00
_cell_angle_gamma 90.00
loop_
_atom_site_label
_atom_site_type_symbol
_atom_site_fract_x
_atom_site_fract_y
_atom_site_fract_z
_atom_site_occupancy
La1 La 0.0000 0.5000 0.0000 1
Be1 Be 0.0000 0.0000 0.5000 1
Bi1 Bi 0.5000 0.5000 0.0000 1
Pt1 Pt 0.5000 0.5000 0.5000 1
```


Least stable structure: two


one.
Density functional theory data (PBE) for crystalline Li3BeBi at its relaxed geometry.

## Properties
The total magnetization is 0.0 μB per cell. The calculation puts the volume at 19.07 Å³/atom. As for the density of states at the Fermi level: 0.226 states/eV/atom.

Structure (CIF):
```
data_Li3BeBi
_symmetry_space_group_name_H-M 'P m -3 m'
_symmetry_Int_Tables_number 221
_symmetry_space_group_name_Hall '-P 4 2 3'
_cell_length_a 4.5684
_cell_length_b 4.5684
_cell_length_c 4.5684
_cell_angle_alpha 90.00
_cell_angle_beta 90.00
_cell_angle_gamma 90.00
loop_
_atom_site_label
_atom_site_type_symbol
_atom_site_fract_x
_atom_site_fract_y
_atom_site_fract_z
_atom_site_occupancy
Li1 Li 0.0000 0.0000 0.5000 1
Be1 Be 0.0000 0.0000 0.0000 1
Bi1 Bi 0.5000 0.5000 0.5000 1
```


two.
Density functional theory data (PBE) for crystalline Li3BeBi at its relaxed geometry.

## Properties
The total magnetization is 0.0 μB per cell. The calculation puts the volume at 29.89 Å³/atom. As for the density of states at the Fermi level: 0.000 states/eV/atom.

Structure (CIF):
```
data_Li3BeBi
_symmetry_space_group_name_H-M 'P m -3 m'
_symmetry_Int_Tables_number 221
_symmetry_space_group_name_Hall '-P 4 2 3'
_cell_length_a 5.3066
_cell_length_b 5.3066
_cell_length_c 5.3066
_cell_angle_alpha 90.00
_cell_angle_beta 90.00
_cell_angle_gamma 90.00
loop_
_atom_site_label
_atom_site_type_symbol
_atom_site_fract_x
_atom_site_fract_y
_atom_site_fract_z
_atom_site_occupancy
Li1 Li 0.0000 0.0000 0.5000 1
Be1 Be 0.5000 0.5000 0.5000 1
Bi1 Bi 0.0000 0.0000 0.0000 1
```


Least stable structure: two


one.
Density functional theory data (PBE) for crystalline LiBeBi3 at its relaxed geometry.

## Properties
The total magnetization is 0.0 μB per cell. The calculation puts the volume at 27.07 Å³/atom. As for the density of states at the Fermi level: 0.381 states/eV/atom.

Structure (CIF):
```
data_LiBeBi3
_symmetry_space_group_name_H-M 'P m -3 m'
_symmetry_Int_Tables_number 221
_symmetry_space_group_name_Hall '-P 4 2 3'
_cell_length_a 5.1345
_cell_length_b 5.1345
_cell_length_c 5.1345
_cell_angle_alpha 90.00
_cell_angle_beta 90.00
_cell_angle_gamma 90.00
loop_
_atom_site_label
_atom_site_type_symbol
_atom_site_fract_x
_atom_site_fract_y
_atom_site_fract_z
_atom_site_occupancy
Li1 Li 0.0000 0.0000 0.0000 1
Be1 Be 0.5000 0.5000 0.5000 1
Bi1 Bi 0.0000 0.0000 0.5000 1
```


two.
Density functional theory data (PBE) for crystalline LiBeBi3 at its relaxed geometry.

## Properties
The total magnetization is 0.0 μB per cell. The calculation puts the volume at 28.13 Å³/atom. As for the density of states at the Fermi level: 0.583 states/eV/atom.

Structure (CIF):
```
data_LiBeBi3
_symmetry_space_group_name_H-M 'P m -3 m'
_symmetry_Int_Tables_number 221
_symmetry_space_group_name_Hall '-P 4 2 3'
_cell_length_a 5.2008
_cell_length_b 5.2008
_cell_length_c 5.2008
_cell_angle_alpha 90.00
_cell_angle_beta 90.00
_cell_angle_gamma 90.00
loop_
_atom_site_label
_atom_site_type_symbol
_atom_site_fract_x
_atom_site_fract_y
_atom_site_fract_z
_atom_site_occupancy
Li1 Li 0.0000 0.0000 0.0000 1
Be1 Be 0.5000 0.5000 0.5000 1
Bi1 Bi 0.0000 0.5000 0.5000 1
```


Least stable structure: one


one.
Density functional theory data (PBE) for crystalline Li2BeBi at its relaxed geometry.

## Properties
The total magnetization is 0.0 μB per cell. The calculation puts the volume at 17.32 Å³/atom. As for the density of states at the Fermi level: 0.386 states/eV/atom.

Structure (CIF):
```
data_Li2BeBi
_symmetry_space_group_name_H-M 'F m -3 m'
_symmetry_Int_Tables_number 225
_symmetry_space_group_name_Hall '-F 4 2 3'
_cell_length_a 6.5199
_cell_length_b 6.5199
_cell_length_c 6.5199
_cell_angle_alpha 90.00
_cell_angle_beta 90.00
_cell_angle_gamma 90.00
loop_
_atom_site_label
_atom_site_type_symbol
_atom_site_fract_x
_atom_site_fract_y
_atom_site_fract_z
_atom_site_occupancy
Li1 Li 0.2500 0.2500 0.2500 1
Be1 Be 0.0000 0.0000 0.0000 1
Bi1 Bi 0.0000 0.0000 0.5000 1
```


two.
Density functional theory data (PBE) for crystalline Li2BeBi at its relaxed geometry.

## Properties
The total magnetization is 0.0 μB per cell. The calculation puts the volume at 19.70 Å³/atom. As for the density of states at the Fermi level: 0.562 states/eV/atom.

Structure (CIF):
```
data_Li2BeBi
_symmetry_space_group_name_H-M 'I -4 2 d'
_symmetry_Int_Tables_number 122
_symmetry_space_group_name_Hall 'I -4 2bw'
_cell_length_a 7.7276
_cell_length_b 7.7276
_cell_length_c 5.2778
_cell_angle_alpha 90.00
_cell_angle_beta 90.00
_cell_angle_gamma 90.00
loop_
_atom_site_label
_atom_site_type_symbol
_atom_site_fract_x
_atom_site_fract_y
_atom_site_fract_z
_atom_site_occupancy
Li1 Li 0.2080 0.2500 0.1250 1
Be1 Be 0.0000 0.0000 0.0000 1
Bi1 Bi 0.0000 0.0000 0.5000 1
```


Least stable structure: two


one.
Density functional theory data (PBE) for crystalline MgBe3Bi at its relaxed geometry.

## Properties
The total magnetization is 0.0 μB per cell. The calculation puts the volume at 23.53 Å³/atom. As for the density of states at the Fermi level: 0.670 states/eV/atom.

Structure (CIF):
```
data_MgBe3Bi
_symmetry_space_group_name_H-M 'P m -3 m'
_symmetry_Int_Tables_number 221
_symmetry_space_group_name_Hall '-P 4 2 3'
_cell_length_a 4.8998
_cell_length_b 4.8998
_cell_length_c 4.8998
_cell_angle_alpha 90.00
_cell_angle_beta 90.00
_cell_angle_gamma 90.00
loop_
_atom_site_label
_atom_site_type_symbol
_atom_site_fract_x
_atom_site_fract_y
_atom_site_fract_z
_atom_site_occupancy
Mg1 Mg 0.0000 0.0000 0.0000 1
Be1 Be 0.0000 0.5000 0.5000 1
Bi1 Bi 0.5000 0.5000 0.5000 1
```


two.
Density functional theory data (PBE) for crystalline MgBe3Bi at its relaxed geometry.

## Properties
The total magnetization is 0.0 μB per cell. The calculation puts the volume at 19.10 Å³/atom. As for the density of states at the Fermi level: 0.525 states/eV/atom.

Structure (CIF):
```
data_MgBe3Bi
_symmetry_space_group_name_H-M 'P m -3 m'
_symmetry_Int_Tables_number 221
_symmetry_space_group_name_Hall '-P 4 2 3'
_cell_length_a 4.5713
_cell_length_b 4.5713
_cell_length_c 4.5713
_cell_angle_alpha 90.00
_cell_angle_beta 90.00
_cell_angle_gamma 90.00
loop_
_atom_site_label
_atom_site_type_symbol
_atom_site_fract_x
_atom_site_fract_y
_atom_site_fract_z
_atom_site_occupancy
Mg1 Mg 0.0000 0.0000 0.0000 1
Be1 Be 0.0000 0.0000 0.5000 1
Bi1 Bi 0.5000 0.5000 0.5000 1
```


Least stable structure: one


one.
Density functional theory data (PBE) for crystalline MgBe2Bi at its relaxed geometry.

## Properties
The total magnetization is 0.0 μB per cell. The calculation puts the volume at 18.51 Å³/atom. As for the density of states at the Fermi level: 0.699 states/eV/atom.

Structure (CIF):
```
data_MgBe2Bi
_symmetry_space_group_name_H-M 'F m -3 m'
_symmetry_Int_Tables_number 225
_symmetry_space_group_name_Hall '-F 4 2 3'
_cell_length_a 6.6657
_cell_length_b 6.6657
_cell_length_c 6.6657
_cell_angle_alpha 90.00
_cell_angle_beta 90.00
_cell_angle_gamma 90.00
loop_
_atom_site_label
_atom_site_type_symbol
_atom_site_fract_x
_atom_site_fract_y
_atom_site_fract_z
_atom_site_occupancy
Mg1 Mg 0.0000 0.0000 0.0000 1
Be1 Be 0.2500 0.2500 0.2500 1
Bi1 Bi 0.0000 0.0000 0.5000 1
```


two.
Density functional theory data (PBE) for crystalline MgBe2Bi at its relaxed geometry.

## Properties
The total magnetization is 0.0 μB per cell. The calculation puts the volume at 19.79 Å³/atom. As for the density of states at the Fermi level: 0.579 states/eV/atom.

Structure (CIF):
```
data_MgBe2Bi
_symmetry_space_group_name_H-M 'I -4 2 d'
_symmetry_Int_Tables_number 122
_symmetry_space_group_name_Hall 'I -4 2bw'
_cell_length_a 7.4927
_cell_length_b 7.4927
_cell_length_c 5.6406
_cell_angle_alpha 90.00
_cell_angle_beta 90.00
_cell_angle_gamma 90.00
loop_
_atom_site_label
_atom_site_type_symbol
_atom_site_fract_x
_atom_site_fract_y
_atom_site_fract_z
_atom_site_occupancy
Mg1 Mg 0.0000 0.0000 0.0000 1
Be1 Be 0.2254 0.2500 0.6250 1
Bi1 Bi 0.0000 0.0000 0.5000 1
```


Least stable structure: two